# 1
Entry from the Open Quantum Materials Database: an optimized crystal structure of TbTlPt (PBE-GGA).

Lattice parameters (Å, degrees): 4.764 4.764 4.764 60.00 60.00 60.00
Sites, in units of the cell vectors:
Tb (0.000, 0.000, 0.000)
Tl (0.750, 0.750, 0.750)
Pt (0.500, 0.500, 0.500)

Output
Space group: F-43m
Crystal system: cubic
Density (g/cm³): 12.1
Total magnetization (μB/atom): 0.0193
Electronic total energy (eV per atom): -4.539

---

# 2
Entry from the Open Quantum Materials Database: an optimized crystal structure of PrNdAl2Br2 (PBE-GGA).

Lattice parameters (Å, degrees): 4.321 4.321 11.668 90.00 90.00 120.00
Sites, in units of the cell vectors:
Pr (0.000, 0.000, 0.000)
Nd (0.000, 0.000, 0.628)
Al (0.333, 0.667, 0.798)
Al (0.667, 0.333, 0.830)
Br (0.333, 0.667, 0.153)
Br (0.667, 0.333, 0.476)

Output
Space group: P3m1
Crystal system: trigonal
Density (g/cm³): 4.4
Total magnetization (μB/atom): 0.0018
Electronic total energy (eV per atom): -4.513